VASP calculation (PBE-GGA) on an optimized crystal structure of Y3MgSn2.

Geometry as extended XYZ:
```
12
Lattice="-3.190 8.277 3.159 3.190 -8.277 3.159 3.190 8.277 -3.159" Properties=species:S:1:pos:R:3 pbc="T T T"
Y 4.719 2.922 0.000
Y 0.000 0.000 1.580
Y 1.529 5.355 0.000
Y 1.661 2.922 3.159
Y 0.000 0.000 4.739
Y -1.529 5.355 3.159
Mg 3.190 0.000 1.580
Mg 0.000 8.277 1.580
Sn 1.564 2.234 0.000
Sn 1.564 -2.234 3.159
Sn 1.627 10.512 0.000
Sn 1.627 6.043 3.159
```

* space-group type: No. 72
* formation energy: -0.53 eV/atom
* Fermi-level density of states: 15.78 states/eV per cell
* V: 27.81 A^3/atom
* electronic total energy: -5.363 eV/atom